Record 1
Entry from Alexandria via LeMat-Bulk: a PBEsol-optimized structure of K3Cl (meta-GGA SCAN).

The total DFT energy (no corrections) is -70.57 eV/cell. As for the excess energy over the best structure of this formula in the dataset: 454.1 meV/atom. The total magnetic moment comes out at 0.00 μB per formula unit. The density of states at the Fermi level is 4.40 states/eV per cell. Its space-group type is Pm-3n (223). The calculated volume is 48.39 Å³/atom.

a b c (Å): 7.288 7.288 7.288
angles (deg): 90.00 90.00 90.00
Fractional positions:
Cl 0.000 0.000 0.000
Cl 0.500 0.500 0.500
K 0.750 0.500 0.000
K 0.250 0.500 0.000
K 0.000 0.750 0.500
K 0.000 0.250 0.500
K 0.500 0.000 0.250
K 0.500 0.000 0.750

Record 2
Entry from Alexandria via LeMat-Bulk: a PBEsol-optimized structure of K3Cl (meta-GGA SCAN).

The total DFT energy (no corrections) is -73.77 eV/cell. As for the excess energy over the best structure of this formula in the dataset: 53.7 meV/atom. The total magnetic moment comes out at 0.07 μB per formula unit. The density of states at the Fermi level is 3.45 states/eV per cell. Its space-group type is Pmmn (59). The calculated volume is 51.66 Å³/atom.

a b c (Å): 4.119 8.526 11.767
angles (deg): 90.00 90.00 90.00
Fractional positions:
Cl 0.000 0.000 0.721
Cl 0.500 0.500 0.279
K 0.500 0.000 0.516
K 0.000 0.500 0.484
K 0.000 0.743 0.181
K 0.000 0.257 0.181
K 0.500 0.243 0.819
K 0.500 0.757 0.819

Record 3
Entry from Alexandria via LeMat-Bulk: a PBEsol-optimized structure of KLa2Cl (meta-GGA SCAN).

The total DFT energy (no corrections) is -104.00 eV/cell. The total magnetic moment comes out at 0.00 μB per formula unit. The density of states at the Fermi level is 3.72 states/eV per cell. Its space-group type is Pmmm (47). The calculated volume is 32.13 Å³/atom.

a b c (Å): 3.526 5.555 6.562
angles (deg): 90.00 90.00 90.00
Fractional positions:
K 0.000 0.500 0.500
Cl 0.500 0.000 0.500
La 0.000 0.000 0.000
La 0.500 0.500 0.000

Record 4
Entry from Alexandria via LeMat-Bulk: a PBEsol-optimized structure of KRb2LaCl6 (meta-GGA SCAN).

The total DFT energy (no corrections) is -164.11 eV/cell. The total magnetic moment comes out at 0.00 μB per formula unit. The density of states at the Fermi level is 0.00 states/eV per cell. Its space-group type is Fm-3m (225). The calculated volume is 36.35 Å³/atom.

a b c (Å): 8.011 8.011 8.011
angles (deg): 60.00 60.00 60.00
Fractional positions:
K 0.500 0.500 0.500
Cl 0.759 0.241 0.241
Cl 0.241 0.759 0.241
Cl 0.241 0.241 0.759
Cl 0.759 0.241 0.759
Cl 0.759 0.759 0.241
Cl 0.241 0.759 0.759
Rb 0.750 0.750 0.750
Rb 0.250 0.250 0.250
La 0.000 0.000 0.000